Compound: TiMoSe
Source: the Alexandria database
Functional: PBE-GGA
Structure: relaxed

Cell: 4.4762 4.4762 7.1360 Å, 68.60 68.60 60.02°
Closest atoms and distances in Å follow each position.
Fractional coordinates of all 6 atoms:
Mo  0.7775  0.7775  0.0727  1 Mo 2.39, 3 Se 2.58-2.62
Mo  0.9231  0.9231  0.7032  1 Mo 2.39
Ti  0.3231  0.3231  0.5298  4 Se 2.56-2.65, 1 Ti 2.76, 3 Mo 2.81-2.82
Ti  0.1571  0.1571  0.9568  3 Mo 2.69-2.70, 1 Ti 2.76, 3 Se 2.80-2.82
Se  0.6515  0.6515  0.5339  3 Ti 2.56-2.60, 3 Mo 2.79-2.84
Se  0.4272  0.4272  0.1257  3 Mo 2.58-2.62, 4 Ti 2.65-2.82

Output
**Formation energy from raw total energies**: -118 meV per atom